(1)
This record from the Alexandria database describes a relaxed LiScZn2 crystal. The functional is PBEsol.

Properties
Formation energy ... -0.209 eV per atom
D(E_F) ... 0.68 states/eV per atom
Magnetization ... 0.0 μB/f.u.
Total DFT energy (no corrections) ... -0.231 Ry/atom

abc: 4.637 4.637 3.137
angles: 90.00 90.00 90.00
Space group P4/mmm (No. 123)
Asymmetric unit:
Li 0.000 0.000 0.000
Sc 0.500 0.500 0.000
Zn 0.000 0.500 0.500

=====

(2)
This record from the Alexandria database describes a relaxed LiZrSc3 crystal. The functional is PBEsol.

Properties
Formation energy ... 0.613 eV per atom
D(E_F) ... 1.40 states/eV per atom
Magnetization ... 0.0 μB/f.u.
Total DFT energy (no corrections) ... -0.409 Ry/atom

abc: 4.832 4.832 4.832
angles: 90.00 90.00 90.00
Space group Pm-3m (No. 221)
Asymmetric unit:
Li 0.000 0.000 0.000
Zr 0.500 0.500 0.500
Sc 0.000 0.000 0.500